[1]
# TbErAs2 | Alexandria | PBE | relaxed
# **DOS(E_F)**: 0.978 states/eV/cell
# **E_tot**: -6.154 eV/atom
# **E_form**: -6.13 eV/f.u.
# **Crystal system**: tetragonal
# **SG**: I4_1/amd (141)
data_TbErAs2
_chemical_formula_sum 'Tb2 Er2 As4'
_space_group_name_H-M_alt 'P 1'
_space_group_IT_number 1
_cell_length_a 5.810
_cell_length_b 5.810
_cell_length_c 7.120
_cell_angle_alpha 114.08
_cell_angle_beta 114.08
_cell_angle_gamma 90.00
loop_
_space_group_symop_operation_xyz
'x,y,z'
loop_
_atom_site_label
_atom_site_fract_x
_atom_site_fract_y
_atom_site_fract_z
_atom_site_occupancy
Tb1 0.750 0.250 0.500 1
Tb2 0.000 0.000 0.000 1
Er1 0.500 0.500 0.000 1
Er2 0.250 0.750 0.500 1
As1 0.749 0.749 0.497 1
As2 0.499 0.999 0.997 1
As3 0.251 0.251 0.503 1
As4 0.001 0.501 0.003 1


[2]
# NbAlIN2 | Alexandria | PBE | relaxed
# **DOS(E_F)**: 4.996 states/eV/cell
# **E_tot**: -5.268 eV/atom
# **Crystal system**: tetragonal
# **SG**: P4/mmm (123)
# **Formation energy without anion corrections**: 1.134 eV per atom
data_NbAlIN2
_chemical_formula_sum 'Nb1 Al1 I1 N2'
_space_group_name_H-M_alt 'P 1'
_space_group_IT_number 1
_cell_length_a 3.885
_cell_length_b 3.885
_cell_length_c 5.339
_cell_angle_alpha 90.00
_cell_angle_beta 90.00
_cell_angle_gamma 90.00
loop_
_space_group_symop_operation_xyz
'x,y,z'
loop_
_atom_site_label
_atom_site_fract_x
_atom_site_fract_y
_atom_site_fract_z
_atom_site_occupancy
I1 0.000 0.000 0.500 1
Nb1 0.500 0.500 0.500 1
Al1 0.000 0.000 0.000 1
N1 0.000 0.500 0.000 1
N2 0.500 0.000 0.000 1


[3]
# AcLa5Sc | Alexandria | PBE | relaxed
# **DOS(E_F)**: 11.980 states/eV/cell
# **E_tot**: -4.800 eV/atom
# **E_form**: 1.47 eV/f.u.
# **Crystal system**: tetragonal
# **SG**: P4/mmm (123)
data_AcLa5Sc
_chemical_formula_sum 'Ac1 La5 Sc1'
_space_group_name_H-M_alt 'P 1'
_space_group_IT_number 1
_cell_length_a 5.507
_cell_length_b 5.507
_cell_length_c 8.822
_cell_angle_alpha 90.00
_cell_angle_beta 90.00
_cell_angle_gamma 90.00
loop_
_space_group_symop_operation_xyz
'x,y,z'
loop_
_atom_site_label
_atom_site_fract_x
_atom_site_fract_y
_atom_site_fract_z
_atom_site_occupancy
Ac1 0.000 0.000 0.000 1
La1 0.500 0.500 0.000 1
La2 0.500 0.000 0.297 1
La3 0.000 0.500 0.297 1
La4 0.500 0.000 0.703 1
La5 0.000 0.500 0.703 1
Sc1 0.000 0.000 0.500 1


[4]
# ZrMoSe2 | Alexandria | PBE | relaxed
# **DOS(E_F)**: 1.623 states/eV/cell
# **E_tot**: -6.418 eV/atom
# **Crystal system**: cubic
# **SG**: F-43m (216)
# **Formation energy without anion corrections**: 0.169 eV per atom
data_ZrMoSe2
_chemical_formula_sum 'Zr1 Mo1 Se2'
_space_group_name_H-M_alt 'P 1'
_space_group_IT_number 1
_cell_length_a 4.727
_cell_length_b 4.727
_cell_length_c 4.727
_cell_angle_alpha 60.00
_cell_angle_beta 60.00
_cell_angle_gamma 60.00
loop_
_space_group_symop_operation_xyz
'x,y,z'
loop_
_atom_site_label
_atom_site_fract_x
_atom_site_fract_y
_atom_site_fract_z
_atom_site_occupancy
Mo1 0.500 0.500 0.500 1
Se1 0.000 0.000 0.000 1
Se2 0.250 0.250 0.250 1
Zr1 0.750 0.750 0.750 1


[5]
# Ba11In6O3 | Alexandria | PBE | relaxed
# **DOS(E_F)**: 31.108 states/eV/cell
# **E_tot**: -3.640 eV/atom
# **Crystal system**: tetragonal
# **SG**: I4/mcm (140)
# **Formation energy without anion corrections**: -1.017 eV per atom
data_Ba11In6O3
_chemical_formula_sum 'Ba22 In12 O6'
_space_group_name_H-M_alt 'P 1'
_space_group_IT_number 1
_cell_length_a 11.285
_cell_length_b 12.426
_cell_length_c 12.426
_cell_angle_alpha 78.10
_cell_angle_beta 63.00
_cell_angle_gamma 63.00
loop_
_space_group_symop_operation_xyz
'x,y,z'
loop_
_atom_site_label
_atom_site_fract_x
_atom_site_fract_y
_atom_site_fract_z
_atom_site_occupancy
Ba1 0.326 0.500 0.250 1
Ba2 0.075 0.500 0.750 1
Ba3 0.729 0.500 0.042 1
Ba4 0.271 0.500 0.958 1
Ba5 0.376 0.000 0.748 1
Ba6 0.124 0.252 0.000 1
Ba7 0.876 0.748 0.000 1
Ba8 0.174 0.750 0.500 1
Ba9 0.771 0.958 0.500 1
Ba10 0.624 0.000 0.252 1
Ba11 0.229 0.042 0.500 1
Ba12 0.826 0.250 0.500 1
Ba13 0.376 0.748 0.000 1
Ba14 0.876 0.000 0.748 1
Ba15 0.674 0.500 0.750 1
Ba16 0.000 0.000 0.000 1
Ba17 0.124 0.000 0.252 1
Ba18 0.575 0.750 0.500 1
Ba19 0.925 0.500 0.250 1
Ba20 0.500 0.000 0.000 1
Ba21 0.624 0.252 0.000 1
Ba22 0.425 0.250 0.500 1
In1 0.259 0.241 0.240 1
In2 0.001 0.759 0.240 1
In3 0.934 0.632 0.500 1
In4 0.566 0.500 0.368 1
In5 0.759 0.240 0.241 1
In6 0.241 0.760 0.759 1
In7 0.066 0.368 0.500 1
In8 0.499 0.760 0.241 1
In9 0.501 0.240 0.759 1
In10 0.741 0.759 0.760 1
In11 0.999 0.241 0.760 1
In12 0.434 0.500 0.632 1
O1 0.000 0.500 0.000 1
O2 0.250 0.000 0.000 1
O3 0.500 0.000 0.500 1
O4 0.750 0.000 0.000 1
O5 0.500 0.500 0.000 1
O6 0.000 0.000 0.500 1


[6]
# CdSeCl | Alexandria | PBE | relaxed
# **DOS(E_F)**: 2.490 states/eV/cell
# **E_tot**: -2.087 eV/atom
# **Crystal system**: cubic
# **SG**: F-43m (216)
# **Formation energy without anion corrections**: -0.004 eV per atom
data_CdSeCl
_chemical_formula_sum 'Cd1 Se1 Cl1'
_space_group_name_H-M_alt 'P 1'
_space_group_IT_number 1
_cell_length_a 4.790
_cell_length_b 4.790
_cell_length_c 4.790
_cell_angle_alpha 60.00
_cell_angle_beta 60.00
_cell_angle_gamma 60.00
loop_
_space_group_symop_operation_xyz
'x,y,z'
loop_
_atom_site_label
_atom_site_fract_x
_atom_site_fract_y
_atom_site_fract_z
_atom_site_occupancy
Cd1 0.000 0.000 0.000 1
Cl1 0.500 0.500 0.500 1
Se1 0.750 0.750 0.750 1


[7]
# TlBPd4 | Alexandria | PBE | relaxed
# **DOS(E_F)**: 5.009 states/eV/cell
# **E_tot**: -5.174 eV/atom
# **E_form**: -1.23 eV/f.u.
# **Crystal system**: monoclinic
# **SG**: C2/m (12)
data_TlBPd4
_chemical_formula_sum 'Tl2 B2 Pd8'
_space_group_name_H-M_alt 'P 1'
_space_group_IT_number 1
_cell_length_a 4.901
_cell_length_b 5.683
_cell_length_c 7.566
_cell_angle_alpha 112.06
_cell_angle_beta 108.84
_cell_angle_gamma 90.00
loop_
_space_group_symop_operation_xyz
'x,y,z'
loop_
_atom_site_label
_atom_site_fract_x
_atom_site_fract_y
_atom_site_fract_z
_atom_site_occupancy
Tl1 0.806 0.806 0.613 1
Tl2 0.194 0.194 0.387 1
B1 0.321 0.500 0.000 1
B2 0.679 0.500 0.000 1
Pd1 0.190 0.690 0.380 1
Pd2 0.387 0.134 0.774 1
Pd3 0.000 0.250 0.000 1
Pd4 0.613 0.360 0.226 1
Pd5 0.810 0.310 0.620 1
Pd6 0.613 0.866 0.226 1
Pd7 0.000 0.750 0.000 1
Pd8 0.387 0.640 0.774 1


[8]
# BeCoNi2 | Alexandria | PBE | relaxed
# **DOS(E_F)**: 3.604 states/eV/cell
# **E_tot**: -5.718 eV/atom
# **E_form**: -0.48 eV/f.u.
# **Crystal system**: trigonal
# **SG**: R-3m (166)
data_BeCoNi2
_chemical_formula_sum 'Be1 Co1 Ni2'
_space_group_name_H-M_alt 'P 1'
_space_group_IT_number 1
_cell_length_a 7.838
_cell_length_b 7.838
_cell_length_c 7.838
_cell_angle_alpha 18.04
_cell_angle_beta 18.04
_cell_angle_gamma 18.04
loop_
_space_group_symop_operation_xyz
'x,y,z'
loop_
_atom_site_label
_atom_site_fract_x
_atom_site_fract_y
_atom_site_fract_z
_atom_site_occupancy
Ni1 0.994 0.994 0.994 1
Ni2 0.506 0.506 0.506 1
Co1 0.750 0.750 0.750 1
Be1 0.250 0.250 0.250 1


[9]
# HoPuMnRh | Alexandria | PBE | relaxed
# **DOS(E_F)**: 4.663 states/eV/cell
# **E_tot**: -9.116 eV/atom
# **E_form**: -1.03 eV/f.u.
# **Crystal system**: cubic
# **SG**: F-43m (216)
data_HoPuMnRh
_chemical_formula_sum 'Ho1 Pu1 Mn1 Rh1'
_space_group_name_H-M_alt 'P 1'
_space_group_IT_number 1
_cell_length_a 4.823
_cell_length_b 4.823
_cell_length_c 4.823
_cell_angle_alpha 60.00
_cell_angle_beta 60.00
_cell_angle_gamma 60.00
loop_
_space_group_symop_operation_xyz
'x,y,z'
loop_
_atom_site_label
_atom_site_fract_x
_atom_site_fract_y
_atom_site_fract_z
_atom_site_occupancy
Mn1 0.500 0.500 0.500 1
Rh1 0.000 0.000 0.000 1
Ho1 0.750 0.750 0.750 1
Pu1 0.250 0.250 0.250 1


[10]
# Sc2InMoH | Alexandria | PBE | relaxed
# **DOS(E_F)**: 3.745 states/eV/cell
# **E_tot**: -6.172 eV/atom
# **Crystal system**: tetragonal
# **SG**: P4/mmm (123)
data_Sc2InMoH
_chemical_formula_sum 'Sc2 In1 Mo1 H1'
_space_group_name_H-M_alt 'P 1'
_space_group_IT_number 1
_cell_length_a 4.654
_cell_length_b 4.654
_cell_length_c 3.769
_cell_angle_alpha 90.00
_cell_angle_beta 90.00
_cell_angle_gamma 90.00
loop_
_space_group_symop_operation_xyz
'x,y,z'
loop_
_atom_site_label
_atom_site_fract_x
_atom_site_fract_y
_atom_site_fract_z
_atom_site_occupancy
Sc1 0.000 0.500 0.000 1
Sc2 0.500 0.000 0.000 1
H1 0.000 0.000 0.000 1
Mo1 0.000 0.000 0.500 1
In1 0.500 0.500 0.500 1


[11]
# TbMnNbGe2 | Alexandria | PBE | relaxed
# **DOS(E_F)**: 3.971 states/eV/cell
# **E_tot**: -7.104 eV/atom
# **E_form**: -2.42 eV/f.u.
# **Crystal system**: tetragonal
# **SG**: I-4m2 (119)
data_TbMnNbGe2
_chemical_formula_sum 'Tb1 Mn1 Nb1 Ge2'
_space_group_name_H-M_alt 'P 1'
_space_group_IT_number 1
_cell_length_a 3.999
_cell_length_b 3.999
_cell_length_c 6.502
_cell_angle_alpha 107.91
_cell_angle_beta 107.91
_cell_angle_gamma 90.00
loop_
_space_group_symop_operation_xyz
'x,y,z'
loop_
_atom_site_label
_atom_site_fract_x
_atom_site_fract_y
_atom_site_fract_z
_atom_site_occupancy
Tb1 0.000 0.000 0.000 1
Mn1 0.750 0.250 0.500 1
Nb1 0.250 0.750 0.500 1
Ge1 0.609 0.609 0.217 1
Ge2 0.391 0.391 0.783 1


[12]
# Pr3SmHo2Te6 | Alexandria | PBE | relaxed
# **DOS(E_F)**: 6.304 states/eV/cell
# **E_tot**: -5.293 eV/atom
# **Crystal system**: monoclinic
# **SG**: C2/m (12)
# **Formation energy without anion corrections**: -1.371 eV per atom
data_Pr3SmHo2Te6
_chemical_formula_sum 'Pr3 Sm1 Ho2 Te6'
_space_group_name_H-M_alt 'P 1'
_space_group_IT_number 1
_cell_length_a 4.401
_cell_length_b 9.012
_cell_length_c 10.001
_cell_angle_alpha 104.20
_cell_angle_beta 102.71
_cell_angle_gamma 90.00
loop_
_space_group_symop_operation_xyz
'x,y,z'
loop_
_atom_site_label
_atom_site_fract_x
_atom_site_fract_y
_atom_site_fract_z
_atom_site_occupancy
Pr1 0.500 0.500 0.000 1
Pr2 0.837 0.168 0.674 1
Pr3 0.163 0.832 0.326 1
Sm1 0.500 0.000 0.000 1
Ho1 0.835 0.670 0.670 1
Ho2 0.165 0.330 0.330 1
Te1 0.333 0.906 0.666 1
Te2 0.671 0.574 0.342 1
Te3 0.667 0.094 0.334 1
Te4 0.005 0.248 0.010 1
Te5 0.995 0.752 0.990 1
Te6 0.329 0.426 0.658 1